Here is KTlN3 after structural relaxation from Alexandria via LeMat-Bulk. Energies are from PBE.

Results
E_form (uncorrected): 2.527 eV/atom
Crystal system: cubic
Total magnetic moment: 7.000 μB per cell

Lattice parameters (Å, degrees): 4.9139 4.9139 4.9139 90.00 90.00 90.00
Last column: magnetic moment on the atom in μB.
Fractional positions:
Tl (0.5000, 0.5000, 0.5000)  0.01
K (0.0000, 0.0000, 0.0000)  0.13
N (0.0000, 0.5000, 0.0000)  1.61
N (0.0000, 0.0000, 0.5000)  1.50
N (0.5000, 0.0000, 0.0000)  1.53

Here is NiPbCl2 after structural relaxation from Alexandria via LeMat-Bulk. Energies are from PBE.

Results
E_form (uncorrected): 0.118 eV/atom
Crystal system: cubic
Total magnetic moment: 0.093 μB per cell
Energy above the most stable polymorph in this dataset: 0.590 eV/atom

Lattice parameters (Å, degrees): 4.9053 4.9053 4.9053 60.00 60.00 60.00
Last column: magnetic moment on the atom in μB.
Fractional positions:
Pb (0.2500, 0.2500, 0.2500)  -0.03
Ni (0.5000, 0.5000, 0.5000)  0.20
Cl (0.0000, 0.0000, 0.0000)  -0.01
Cl (0.7500, 0.7500, 0.7500)  -0.01

> Which value of total magnetic moment does entry 1 give?

7.000 μB per cell

> Which formula does entry 1 have?

KTlN3